This record from the Alexandria database describes LaTc3 after structural relaxation. The functional is PBE.

```
data_LaTc3
_chemical_formula_sum 'La2 Tc6'
_cell_length_a 5.286
_cell_length_b 5.286
_cell_length_c 5.286
_cell_angle_alpha 90.00
_cell_angle_beta 90.00
_cell_angle_gamma 90.00
_symmetry_space_group_name_H-M 'P m -3 n'
_symmetry_Int_Tables_number 223
_symmetry_space_group_name_Hall '-P 4n 2 3'
loop_
_atom_site_label
_atom_site_type_symbol
_atom_site_fract_x
_atom_site_fract_y
_atom_site_fract_z
La1 La 0.000 0.000 0.000
Tc1 Tc 0.000 0.250 0.500
```

Values from the calculation:
**ρ**: 9.73 g/cm³
**Energy of formation**: 0.87 eV/atom

This record from the Alexandria database describes La2GaCu12Ni3 after structural relaxation. The functional is PBE.

```
data_La2GaCu12Ni3
_chemical_formula_sum 'La6 Ga3 Cu36 Ni9'
_cell_length_a 8.0651
_cell_length_b 8.0651
_cell_length_c 17.6287
_cell_angle_alpha 90.00
_cell_angle_beta 90.00
_cell_angle_gamma 120.00
_symmetry_space_group_name_H-M 'R -3 m'
_symmetry_Int_Tables_number 166
_symmetry_space_group_name_Hall '-R 3 2"'
loop_
_atom_site_label
_atom_site_type_symbol
_atom_site_fract_x
_atom_site_fract_y
_atom_site_fract_z
La1 La 0.0000 0.0000 0.1074
Ga1 Ga 0.0000 0.0000 0.5000
Cu1 Cu 0.0109 0.5055 0.1344
Cu2 Cu 0.1104 0.2207 0.7338
Ni1 Ni 0.0000 0.5000 0.0000
```

Values from the calculation:
**ρ**: 6.45 g/cm³
**Energy of formation**: 0.36 eV/atom

This record from the Alexandria database describes CsSrNdBr6 after structural relaxation. The functional is PBE.

```
data_CsSrNdBr6
_chemical_formula_sum 'Cs2 Sr2 Nd2 Br12'
_cell_length_a 7.8820
_cell_length_b 7.8820
_cell_length_c 15.5347
_cell_angle_alpha 90.00
_cell_angle_beta 90.00
_cell_angle_gamma 120.00
_symmetry_space_group_name_H-M 'P -3 1 c'
_symmetry_Int_Tables_number 163
_symmetry_space_group_name_Hall '-P 3 2c'
loop_
_atom_site_label
_atom_site_type_symbol
_atom_site_fract_x
_atom_site_fract_y
_atom_site_fract_z
Cs1 Cs 0.0000 0.0000 0.0000
Sr1 Sr 0.3333 0.6667 0.2500
Nd1 Nd 0.3333 0.6667 0.7500
Br1 Br 0.0149 0.3860 0.6410
```

Values from the calculation:
**ΔE_f (raw)**: -1714 kJ/mol of formula units
**ρ**: 3.35 g/cm³

This record from the Alexandria database describes Rb2ThUSe4 after structural relaxation. The functional is PBE.

```
data_Rb2ThUSe4
_chemical_formula_sum 'Rb2 Th1 U1 Se4'
_cell_length_a 7.392
_cell_length_b 4.268
_cell_length_c 8.502
_cell_angle_alpha 90.00
_cell_angle_beta 106.83
_cell_angle_gamma 90.00
_symmetry_space_group_name_H-M 'P 1 2/m 1'
_symmetry_Int_Tables_number 10
loop_
_symmetry_equiv_pos_as_xyz
'x,y,z'
'-x,-y,-z'
'-x,y,-z'
'x,-y,z'
loop_
_atom_site_label
_atom_site_type_symbol
_atom_site_fract_x
_atom_site_fract_y
_atom_site_fract_z
Rb1 Rb 0.000 0.000 0.000
Rb2 Rb 0.500 0.500 0.000
Th1 Th 0.000 0.500 0.500
U1 U 0.500 0.000 0.500
Se1 Se 0.236 0.000 0.705
Se2 Se 0.267 0.500 0.299
```

Values from the calculation:
**ΔE_f (raw)**: -1055 kJ/mol of formula units
**ρ**: 6.19 g/cm³

This record from the Alexandria database describes LiSm6Hg after structural relaxation. The functional is PBE.

```
data_LiSm6Hg
_chemical_formula_sum 'Li2 Sm12 Hg2'
_cell_length_a 5.163
_cell_length_b 5.163
_cell_length_c 18.223
_cell_angle_alpha 90.00
_cell_angle_beta 90.00
_cell_angle_gamma 90.00
_symmetry_space_group_name_H-M 'I 4/m m m'
_symmetry_Int_Tables_number 139
_symmetry_space_group_name_Hall '-I 4 2'
loop_
_atom_site_label
_atom_site_type_symbol
_atom_site_fract_x
_atom_site_fract_y
_atom_site_fract_z
Li1 Li 0.000 0.000 0.000
Sm1 Sm 0.000 0.000 0.248
Sm2 Sm 0.000 0.500 0.111
Hg1 Hg 0.000 0.000 0.500
```

Values from the calculation:
**ρ**: 7.59 g/cm³
**Energy of formation**: -0.09 eV/atom

This record from the Alexandria database describes Pu7GeRh5 after structural relaxation. The functional is PBE.

```
data_Pu7GeRh5
_chemical_formula_sum 'Pu14 Ge2 Rh10'
_cell_length_a 5.699
_cell_length_b 10.047
_cell_length_c 9.867
_cell_angle_alpha 90.00
_cell_angle_beta 90.00
_cell_angle_gamma 90.00
_symmetry_space_group_name_H-M 'I m m 2'
_symmetry_Int_Tables_number 44
loop_
_symmetry_equiv_pos_as_xyz
'x,y,z'
'-x,-y,z'
'-x,y,z'
'x,-y,z'
'x+1/2,y+1/2,z+1/2'
'-x+1/2,-y+1/2,z+1/2'
'-x+1/2,y+1/2,z+1/2'
'x+1/2,-y+1/2,z+1/2'
loop_
_atom_site_label
_atom_site_type_symbol
_atom_site_fract_x
_atom_site_fract_y
_atom_site_fract_z
Pu1 Pu 0.000 0.000 0.000
Pu2 Pu 0.000 0.000 0.377
Pu3 Pu 0.000 0.315 0.620
Pu4 Pu 0.000 0.336 0.073
Pu5 Pu 0.000 0.500 0.322
Ge1 Ge 0.000 0.000 0.687
Rh1 Rh 0.000 0.500 0.838
Rh2 Rh 0.247 0.234 0.855
```

Values from the calculation:
**ρ**: 13.49 g/cm³
**Energy of formation**: -0.28 eV/atom

This record from the Alexandria database describes MnFe3Se after structural relaxation. The functional is PBE.

```
data_MnFe3Se
_chemical_formula_sum 'Mn1 Fe3 Se1'
_cell_length_a 4.288
_cell_length_b 4.288
_cell_length_c 4.288
_cell_angle_alpha 90.00
_cell_angle_beta 90.00
_cell_angle_gamma 90.00
_symmetry_space_group_name_H-M 'P m -3 m'
_symmetry_Int_Tables_number 221
_symmetry_space_group_name_Hall '-P 4 2 3'
loop_
_atom_site_label
_atom_site_type_symbol
_atom_site_fract_x
_atom_site_fract_y
_atom_site_fract_z
Mn1 Mn 0.000 0.000 0.000
Fe1 Fe 0.000 0.000 0.500
Se1 Se 0.500 0.500 0.500
```

Values from the calculation:
**ΔE_f (raw)**: 541 kJ/mol of formula units
**ρ**: 6.35 g/cm³

This record from the Alexandria database describes ZrAgSnRh after structural relaxation. The functional is PBE.

```
data_ZrAgSnRh
_chemical_formula_sum 'Zr4 Ag4 Sn4 Rh4'
_cell_length_a 6.668
_cell_length_b 6.668
_cell_length_c 6.668
_cell_angle_alpha 90.00
_cell_angle_beta 90.00
_cell_angle_gamma 90.00
_symmetry_space_group_name_H-M 'F -4 3 m'
_symmetry_Int_Tables_number 216
_symmetry_space_group_name_Hall 'F -4 2 3'
loop_
_atom_site_label
_atom_site_type_symbol
_atom_site_fract_x
_atom_site_fract_y
_atom_site_fract_z
Zr1 Zr 0.000 0.000 0.000
Ag1 Ag 0.250 0.250 0.250
Sn1 Sn 0.000 0.000 0.500
Rh1 Rh 0.250 0.250 0.750
```

Values from the calculation:
**ρ**: 9.43 g/cm³
**Energy of formation**: -0.43 eV/atom

This record from the Alexandria database describes DyGa6Pd12 after structural relaxation. The functional is PBE.

```
data_DyGa6Pd12
_chemical_formula_sum 'Dy3 Ga18 Pd36'
_cell_length_a 11.5344
_cell_length_b 11.5344
_cell_length_c 8.3587
_cell_angle_alpha 90.00
_cell_angle_beta 90.00
_cell_angle_gamma 120.00
_symmetry_space_group_name_H-M 'R -3 m'
_symmetry_Int_Tables_number 166
_symmetry_space_group_name_Hall '-R 3 2"'
loop_
_atom_site_label
_atom_site_type_symbol
_atom_site_fract_x
_atom_site_fract_y
_atom_site_fract_z
Dy1 Dy 0.0000 0.0000 0.0000
Ga1 Ga 0.0429 0.5214 0.2523
Pd1 Pd 0.0000 0.3793 0.5000
Pd2 Pd 0.0819 0.1639 0.3196
```

Values from the calculation:
**ρ**: 9.61 g/cm³
**Energy of formation**: -0.57 eV/atom

This record from the Alexandria database describes Er2Ga9Ru3 after structural relaxation. The functional is PBE.

```
data_Er2Ga9Ru3
_chemical_formula_sum 'Er8 Ga36 Ru12'
_cell_length_a 12.878
_cell_length_b 7.549
_cell_length_c 9.684
_cell_angle_alpha 90.00
_cell_angle_beta 90.00
_cell_angle_gamma 90.00
_symmetry_space_group_name_H-M 'C m c m'
_symmetry_Int_Tables_number 63
_symmetry_space_group_name_Hall '-C 2c 2'
loop_
_atom_site_label
_atom_site_type_symbol
_atom_site_fract_x
_atom_site_fract_y
_atom_site_fract_z
Er1 Er 0.162 0.164 0.250
Ga1 Ga 0.000 0.131 0.750
Ga2 Ga 0.000 0.338 0.063
Ga3 Ga 0.108 0.447 0.750
Ga4 Ga 0.164 0.173 0.577
Ru1 Ru 0.000 0.000 0.000
Ru2 Ru 0.177 0.500 0.000
```

Values from the calculation:
**ρ**: 8.93 g/cm³
**Energy of formation**: -0.53 eV/atom

This record from the Alexandria database describes InIr4Se8 after structural relaxation. The functional is PBE.

```
data_InIr4Se8
_chemical_formula_sum 'In4 Ir16 Se32'
_cell_length_a 10.744
_cell_length_b 10.744
_cell_length_c 10.744
_cell_angle_alpha 90.00
_cell_angle_beta 90.00
_cell_angle_gamma 90.00
_symmetry_space_group_name_H-M 'F -4 3 m'
_symmetry_Int_Tables_number 216
_symmetry_space_group_name_Hall 'F -4 2 3'
loop_
_atom_site_label
_atom_site_type_symbol
_atom_site_fract_x
_atom_site_fract_y
_atom_site_fract_z
In1 In 0.000 0.000 0.000
Ir1 Ir 0.121 0.121 0.379
Se1 Se 0.110 0.110 0.610
Se2 Se 0.143 0.143 0.143
```

Values from the calculation:
**ΔE_f (raw)**: -400 kJ/mol of formula units
**ρ**: 8.12 g/cm³

This record from the Alexandria database describes Ac3Cd4Pt4 after structural relaxation. The functional is PBE.

```
data_Ac3Cd4Pt4
_chemical_formula_sum 'Ac6 Cd8 Pt8'
_cell_length_a 4.284
_cell_length_b 8.257
_cell_length_c 15.424
_cell_angle_alpha 90.00
_cell_angle_beta 90.00
_cell_angle_gamma 90.00
_symmetry_space_group_name_H-M 'I m m m'
_symmetry_Int_Tables_number 71
_symmetry_space_group_name_Hall '-I 2 2'
loop_
_atom_site_label
_atom_site_type_symbol
_atom_site_fract_x
_atom_site_fract_y
_atom_site_fract_z
Ac1 Ac 0.000 0.000 0.000
Ac2 Ac 0.000 0.500 0.120
Cd1 Cd 0.000 0.308 0.326
Pt1 Pt 0.000 0.000 0.230
Pt2 Pt 0.000 0.204 0.500
```

Values from the calculation:
**ρ**: 11.63 g/cm³
**Energy of formation**: -0.78 eV/atom

This record from the Alexandria database describes YHfZn2 after structural relaxation. The functional is PBE.

```
data_YHfZn2
_chemical_formula_sum 'Y4 Hf4 Zn8'
_cell_length_a 7.516
_cell_length_b 7.516
_cell_length_c 6.452
_cell_angle_alpha 90.00
_cell_angle_beta 90.00
_cell_angle_gamma 90.00
_symmetry_space_group_name_H-M 'I -4 2 d'
_symmetry_Int_Tables_number 122
_symmetry_space_group_name_Hall 'I -4 2bw'
loop_
_atom_site_label
_atom_site_type_symbol
_atom_site_fract_x
_atom_site_fract_y
_atom_site_fract_z
Y1 Y 0.000 0.000 0.000
Hf1 Hf 0.000 0.000 0.500
Zn1 Zn 0.230 0.750 0.625
```

Values from the calculation:
**ρ**: 7.26 g/cm³
**Energy of formation**: 0.22 eV/atom

This record from the Alexandria database describes Y2Zn2Au3 after structural relaxation. The functional is PBE.

```
data_Y2Zn2Au3
_chemical_formula_sum 'Y8 Zn8 Au12'
_cell_length_a 4.076
_cell_length_b 19.394
_cell_length_c 7.502
_cell_angle_alpha 90.00
_cell_angle_beta 90.00
_cell_angle_gamma 90.00
_symmetry_space_group_name_H-M 'C m c m'
_symmetry_Int_Tables_number 63
_symmetry_space_group_name_Hall '-C 2c 2'
loop_
_atom_site_label
_atom_site_type_symbol
_atom_site_fract_x
_atom_site_fract_y
_atom_site_fract_z
Y1 Y 0.000 0.057 0.250
Y2 Y 0.000 0.154 0.750
Zn1 Zn 0.000 0.308 0.554
Au1 Au 0.000 0.228 0.250
Au2 Au 0.000 0.435 0.060
```

Values from the calculation:
**ρ**: 10.07 g/cm³
**Energy of formation**: -0.63 eV/atom

This record from the Alexandria database describes Ta3FeN after structural relaxation. The functional is PBE.

```
data_Ta3FeN
_chemical_formula_sum 'Ta3 Fe1 N1'
_cell_length_a 4.527
_cell_length_b 4.527
_cell_length_c 4.527
_cell_angle_alpha 90.00
_cell_angle_beta 90.00
_cell_angle_gamma 90.00
_symmetry_space_group_name_H-M 'P m -3 m'
_symmetry_Int_Tables_number 221
_symmetry_space_group_name_Hall '-P 4 2 3'
loop_
_atom_site_label
_atom_site_type_symbol
_atom_site_fract_x
_atom_site_fract_y
_atom_site_fract_z
Ta1 Ta 0.000 0.000 0.500
Fe1 Fe 0.000 0.000 0.000
N1 N 0.500 0.500 0.500
```

Values from the calculation:
**ΔE_f (raw)**: 821 kJ/mol of formula units
**ρ**: 10.96 g/cm³

This record from the Alexandria database describes Sc3BiSb2 after structural relaxation. The functional is PBE.

```
data_Sc3BiSb2
_chemical_formula_sum 'Sc12 Bi4 Sb8'
_cell_length_a 7.272
_cell_length_b 12.588
_cell_length_c 7.264
_cell_angle_alpha 90.00
_cell_angle_beta 109.45
_cell_angle_gamma 90.00
_symmetry_space_group_name_H-M 'C 1 2/c 1'
_symmetry_Int_Tables_number 15
loop_
_symmetry_equiv_pos_as_xyz
'x,y,z'
'-x,-y,-z'
'-x,y,-z+1/2'
'x,-y,z+1/2'
'x+1/2,y+1/2,z'
'-x+1/2,-y+1/2,-z'
'-x+1/2,y+1/2,-z+1/2'
'x+1/2,-y+1/2,z+1/2'
loop_
_atom_site_label
_atom_site_type_symbol
_atom_site_fract_x
_atom_site_fract_y
_atom_site_fract_z
Sc1 Sc 0.241 0.086 0.497
Sc2 Sc 0.250 0.250 0.000
Bi1 Bi 0.000 0.419 0.750
Sb1 Sb 0.000 0.084 0.750
Sb2 Sb 0.000 0.253 0.250
```

Values from the calculation:
**ΔE_f (raw)**: -490 kJ/mol of formula units
**ρ**: 6.22 g/cm³

This record from the Alexandria database describes RbCoRuCl6 after structural relaxation. The functional is PBE.

```
data_RbCoRuCl6
_chemical_formula_sum 'Rb1 Co1 Ru1 Cl6'
_cell_length_a 6.3462
_cell_length_b 6.3462
_cell_length_c 7.3303
_cell_angle_alpha 90.00
_cell_angle_beta 90.00
_cell_angle_gamma 120.00
_symmetry_space_group_name_H-M 'P 3 1 2'
_symmetry_Int_Tables_number 149
loop_
_symmetry_equiv_pos_as_xyz
'x,y,z'
'-y,x-y,z'
'-x+y,-x,z'
'-y,-x,-z'
'-x+y,y,-z'
'x,x-y,-z'
loop_
_atom_site_label
_atom_site_type_symbol
_atom_site_fract_x
_atom_site_fract_y
_atom_site_fract_z
Rb1 Rb 0.0000 0.0000 0.0000
Co1 Co 0.3333 0.6667 0.5000
Ru1 Ru 0.6667 0.3333 0.5000
Cl1 Cl 0.3806 0.0066 0.6838
```

Values from the calculation:
**ΔE_f (raw)**: -736 kJ/mol of formula units
**ρ**: 2.98 g/cm³

This record from the Alexandria database describes SbPbBrO2 after structural relaxation. The functional is PBE.

```
data_SbPbBrO2
_chemical_formula_sum 'Sb2 Pb2 Br2 O4'
_cell_length_a 7.595
_cell_length_b 4.182
_cell_length_c 7.616
_cell_angle_alpha 90.00
_cell_angle_beta 103.50
_cell_angle_gamma 90.00
_symmetry_space_group_name_H-M 'P 1 21/m 1'
_symmetry_Int_Tables_number 11
loop_
_symmetry_equiv_pos_as_xyz
'x,y,z'
'-x,-y,-z'
'-x,y+1/2,-z'
'x,-y+1/2,z'
loop_
_atom_site_label
_atom_site_type_symbol
_atom_site_fract_x
_atom_site_fract_y
_atom_site_fract_z
Sb1 Sb 0.146 0.250 0.419
Pb1 Pb 0.189 0.250 0.939
Br1 Br 0.412 0.750 0.204
O1 O 0.004 0.250 0.159
O2 O 0.052 0.750 0.433
```

Values from the calculation:
**ΔE_f (raw)**: -588 kJ/mol of formula units
**ρ**: 6.23 g/cm³

This record from the Alexandria database describes Cu2HgH after structural relaxation. The functional is PBE.

```
data_Cu2HgH
_chemical_formula_sum 'Cu6 Hg3 H3'
_cell_length_a 2.9388
_cell_length_b 2.9388
_cell_length_c 21.7234
_cell_angle_alpha 90.00
_cell_angle_beta 90.00
_cell_angle_gamma 120.00
_symmetry_space_group_name_H-M 'R -3 m'
_symmetry_Int_Tables_number 166
_symmetry_space_group_name_Hall '-R 3 2"'
loop_
_atom_site_label
_atom_site_type_symbol
_atom_site_fract_x
_atom_site_fract_y
_atom_site_fract_z
Cu1 Cu 0.0000 0.0000 0.1219
Hg1 Hg 0.0000 0.0000 0.0000
H1 H 0.0000 0.0000 0.5000
```

Values from the calculation:
**DFT total energy**: -2.629 eV/atom
**ρ**: 10.08 g/cm³

This record from the Alexandria database describes KCd2I5 after structural relaxation. The functional is PBE.

```
data_KCd2I5
_chemical_formula_sum 'K4 Cd8 I20'
_cell_length_a 6.618
_cell_length_b 18.678
_cell_length_c 13.887
_cell_angle_alpha 90.00
_cell_angle_beta 90.00
_cell_angle_gamma 90.00
_symmetry_space_group_name_H-M 'C m c m'
_symmetry_Int_Tables_number 63
_symmetry_space_group_name_Hall '-C 2c 2'
loop_
_atom_site_label
_atom_site_type_symbol
_atom_site_fract_x
_atom_site_fract_y
_atom_site_fract_z
K1 K 0.000 0.084 0.250
Cd1 Cd 0.000 0.216 0.594
I1 I 0.000 0.071 0.595
I2 I 0.000 0.273 0.094
I3 I 0.000 0.320 0.750
```

Values from the calculation:
**ΔE_f (raw)**: -563 kJ/mol of formula units
**ρ**: 3.48 g/cm³